# 1
An optimized crystal structure of Li2TlSnF8, computed with PBE.

Output
- Raw formation energy: -2.426 eV per atom
- Theoretical density: 4.80 g/cm3
- Density of states at the Fermi level: 2.71 states/eV per cell
- Raw total energy: -54.27 eV per formula unit

Unit cell a=4.833 b=4.845 c=7.271 alpha=85.83 beta=85.91 gamma=86.30
Space group P-1 (No. 2)
Asymmetric unit:
Li  0.032  0.032  0.275 [2 per cell]
Tl  0.500  0.500  0.500 [1 per cell]
Sn  0.500  0.500  0.000 [1 per cell]
F  0.174  0.176  0.501 [2 per cell]
F  0.217  0.221  0.030 [2 per cell]
F  0.291  0.706  0.206 [2 per cell]
F  0.296  0.712  0.794 [2 per cell]



# 2
An optimized crystal structure of Hf2UZn, computed with PBE.

Output
- Theoretical density: 13.45 g/cm3
- Density of states at the Fermi level: 25.60 states/eV per cell
- Raw total energy: -31.16 eV per formula unit

Unit cell a=6.883 b=6.883 c=6.883 alpha=90.00 beta=90.00 gamma=90.00
Space group Fm-3m (No. 225)
Asymmetric unit:
Hf  0.250  0.250  0.250 [8 per cell]
U  0.000  0.000  0.000 [4 per cell]
Zn  0.000  0.000  0.500 [4 per cell]



# 3
An optimized crystal structure of Ac6Si2NiI3, computed with PBE.

Output
- Raw formation energy: -0.797 eV per atom
- Theoretical density: 7.02 g/cm3
- Density of states at the Fermi level: 21.92 states/eV per cell
- Raw total energy: -55.49 eV per formula unit

Unit cell a=7.933 b=13.669 c=8.531 alpha=90.00 beta=108.08 gamma=90.00
Space group C2/m (No. 12)
Asymmetric unit:
Ac  0.225  0.160  0.195 [8 per cell]
Ac  0.244  0.500  0.200 [4 per cell]
Si  0.000  0.334  0.000 [4 per cell]
Ni  0.000  0.000  0.000 [2 per cell]
I  0.000  0.175  0.500 [4 per cell]
I  0.000  0.500  0.500 [2 per cell]



Q: Which of these has the lowest theoretical density?
A: Li2TlSnF8



Q: What is the theoretical density in the third record?
A: 7.02 g/cm3



Q: Among the records above, which one has the highest theoretical density?
A: Hf2UZn



Q: The lowest density of states at the Fermi level belongs to which entry?
A: Li2TlSnF8